1.
Entry from Alexandria: crystalline Y2HfRh at its relaxed geometry (GGA-PBE).

Output
energy above the lowest structure with this stoichiometry = 0.000 eV per atom
energy of formation = 18 meV per atom

a b c (Å): 8.241 8.241 5.971
angles (deg): 90.00 90.00 90.00
Space group I-42d (No. 122)
Symmetry-distinct sites (fractional):
Y: 0.189 0.750 0.125 [8 per cell]
Hf: 0.000 0.000 0.500 [4 per cell]
Rh: 0.000 0.000 0.000 [4 per cell]

2.
Entry from Alexandria: crystalline Co2PdPt at its relaxed geometry (GGA-PBE).

Output
energy of formation = 450 meV per atom

a b c (Å): 6.734 6.734 5.272
angles (deg): 90.00 90.00 90.00
Space group I-42d (No. 122)
Symmetry-distinct sites (fractional):
Co: 0.243 0.250 0.125 [8 per cell]
Pd: 0.000 0.000 0.500 [4 per cell]
Pt: 0.000 0.000 0.000 [4 per cell]

3.
Entry from Alexandria: crystalline BeHg2Ir at its relaxed geometry (GGA-PBE).

Output
energy of formation = 572 meV per atom

a b c (Å): 6.451 6.451 6.451
angles (deg): 90.00 90.00 90.00
Space group F-43m (No. 216)
Symmetry-distinct sites (fractional):
Be: 0.000 0.000 0.000 [4 per cell]
Hg: 0.000 0.000 0.500 [4 per cell]
Hg: 0.250 0.250 0.750 [4 per cell]
Ir: 0.250 0.250 0.250 [4 per cell]

4.
Entry from Alexandria: crystalline LaSeBr at its relaxed geometry (GGA-PBE).

Output
formation energy without anion corrections = -1.93 eV per atom

a b c (Å): 4.4923 4.4923 6.6997
angles (deg): 90.00 90.00 120.00
Space group P3m1 (No. 156)
Symmetry-distinct sites (fractional):
La: 0.0000 0.0000 0.0000 [1 per cell]
Se: 0.6667 0.3333 0.1971 [1 per cell]
Br: 0.3333 0.6667 0.7375 [1 per cell]

5.
Entry from Alexandria: crystalline NdSmAu at its relaxed geometry (GGA-PBE).

Output
energy above the lowest structure with this stoichiometry = 0.007 eV per atom
energy of formation = -488 meV per atom

a b c (Å): 3.705 3.705 12.593
angles (deg): 90.00 90.00 90.00
Space group I4mm (No. 107)
Symmetry-distinct sites (fractional):
Nd: 0.000 0.000 0.000 [2 per cell]
Sm: 0.000 0.000 0.288 [2 per cell]
Au: 0.000 0.000 0.650 [2 per cell]

6.
Entry from Alexandria: crystalline SrTePbO at its relaxed geometry (GGA-PBE).

Output
formation energy without anion corrections = -1.53 eV per atom

a b c (Å): 4.779 4.779 9.692
angles (deg): 90.00 90.00 90.00
Space group P4/nmm (No. 129, origin choice 2)
Symmetry-distinct sites (fractional):
Sr: 0.250 0.750 0.000 [2 per cell]
Te: 0.250 0.250 0.296 [2 per cell]
Pb: 0.250 0.250 0.679 [2 per cell]
O: 0.250 0.250 0.919 [2 per cell]

7.
Entry from Alexandria: crystalline BaHf at its relaxed geometry (GGA-PBE).

Output
energy above the lowest structure with this stoichiometry = 1.811 eV per atom
energy of formation = 2370 meV per atom

a b c (Å): 7.288 7.288 7.288
angles (deg): 90.00 90.00 90.00
Space group F-43m (No. 216)
Symmetry-distinct sites (fractional):
Ba: 0.000 0.000 0.000 [4 per cell]
Hf: 0.250 0.250 0.750 [4 per cell]

8.
Entry from Alexandria: crystalline Li3Cu2Sb2 at its relaxed geometry (GGA-PBE).

Output
formation energy without anion corrections = -0.33 eV per atom

a b c (Å): 7.800 4.415 7.304
angles (deg): 90.00 107.45 90.00
Space group C2/m (No. 12)
Symmetry-distinct sites (fractional):
Li: 0.000 0.000 0.000 [2 per cell]
Li: 0.138 0.000 0.423 [4 per cell]
Cu: 0.223 0.500 0.173 [4 per cell]
Sb: 0.089 0.500 0.757 [4 per cell]

9.
Entry from Alexandria: crystalline ScMn6Ga6 at its relaxed geometry (GGA-PBE).

Output
energy of formation = -202 meV per atom

a b c (Å): 5.129 8.492 8.534
angles (deg): 90.00 90.00 90.00
Space group Immm (No. 71)
Symmetry-distinct sites (fractional):
Sc: 0.000 0.000 0.000 [2 per cell]
Mn: 0.000 0.500 0.255 [4 per cell]
Mn: 0.250 0.250 0.250 [8 per cell]
Ga: 0.000 0.000 0.326 [4 per cell]
Ga: 0.000 0.319 0.500 [4 per cell]
Ga: 0.000 0.339 0.000 [4 per cell]

10.
Entry from Alexandria: crystalline AcGd2Ni at its relaxed geometry (GGA-PBE).

Output
energy above the lowest structure with this stoichiometry = 0.137 eV per atom
energy of formation = 19 meV per atom

a b c (Å): 3.7981 3.7981 31.7927
angles (deg): 90.00 90.00 120.00
Space group R-3m (No. 166, hexagonal axes)
Symmetry-distinct sites (fractional):
Ac: 0.0000 0.0000 0.0000 [3 per cell]
Gd: 0.0000 0.0000 0.1160 [6 per cell]
Ni: 0.0000 0.0000 0.5000 [3 per cell]

11.
Entry from Alexandria: crystalline BeCr2Cu at its relaxed geometry (GGA-PBE).

Output
energy of formation = 317 meV per atom

a b c (Å): 2.4791 2.4791 25.0895
angles (deg): 90.00 90.00 120.00
Space group R-3m (No. 166, hexagonal axes)
Symmetry-distinct sites (fractional):
Be: 0.0000 0.0000 0.0000 [3 per cell]
Cr: 0.0000 0.0000 0.2539 [6 per cell]
Cu: 0.0000 0.0000 0.5000 [3 per cell]

12.
Entry from Alexandria: crystalline Cs2TcGeCl6 at its relaxed geometry (GGA-PBE).

Output
formation energy without anion corrections = -1.10 eV per atom

a b c (Å): 10.670 10.670 10.670
angles (deg): 90.00 90.00 90.00
Space group Fm-3m (No. 225)
Symmetry-distinct sites (fractional):
Cs: 0.250 0.250 0.250 [8 per cell]
Tc: 0.000 0.000 0.000 [4 per cell]
Ge: 0.000 0.000 0.500 [4 per cell]
Cl: 0.000 0.000 0.247 [24 per cell]

13.
Entry from Alexandria: crystalline CaBeBPCF at its relaxed geometry (GGA-PBE).

Output
energy above the lowest structure with this stoichiometry = 0.158 eV per atom
formation energy without anion corrections = -0.69 eV per atom

a b c (Å): 3.297 3.311 8.522
angles (deg): 84.69 81.76 60.16
Space group P1 (No. 1)
Symmetry-distinct sites (fractional):
Ca: 0.000 0.000 0.000 [1 per cell]
Be: 0.237 0.349 0.241 [1 per cell]
B: 0.263 0.127 0.470 [1 per cell]
P: 0.606 0.462 0.441 [1 per cell]
C: 0.578 0.680 0.223 [1 per cell]
F: 0.712 0.675 0.866 [1 per cell]

14.
Entry from Alexandria: crystalline K2CoP at its relaxed geometry (GGA-PBE).

Output
energy of formation = -103 meV per atom

a b c (Å): 6.662 3.842 9.596
angles (deg): 90.00 101.41 90.00
Space group Cm (No. 8)
Symmetry-distinct sites (fractional):
K: 0.000 0.000 0.000 [2 per cell]
K: 0.149 0.000 0.525 [2 per cell]
Co: 0.241 0.500 0.262 [2 per cell]
P: 0.408 0.000 0.262 [2 per cell]

15.
Entry from Alexandria: crystalline AlSiPN4 at its relaxed geometry (GGA-PBE).

Output
energy above the lowest structure with this stoichiometry = 0.449 eV per atom
formation energy without anion corrections = -0.33 eV per atom

a b c (Å): 4.366 5.118 7.547
angles (deg): 86.67 85.59 72.38
Space group P1 (No. 1)
Symmetry-distinct sites (fractional):
Al: 0.000 0.000 0.000 [1 per cell]
Al: 0.480 0.337 0.847 [1 per cell]
Si: 0.237 0.268 0.297 [1 per cell]
Si: 0.848 0.723 0.713 [1 per cell]
P: 0.273 0.748 0.517 [1 per cell]
P: 0.745 0.563 0.204 [1 per cell]
N: 0.037 0.500 0.889 [1 per cell]
N: 0.251 0.060 0.473 [1 per cell]
N: 0.372 0.070 0.103 [1 per cell]
N: 0.413 0.535 0.320 [1 per cell]
N: 0.533 0.610 0.667 [1 per cell]
N: 0.697 0.894 0.162 [1 per cell]
N: 0.790 0.407 0.003 [1 per cell]
N: 0.799 0.030 0.789 [1 per cell]

16.
Entry from Alexandria: crystalline La2MnSb4Ir3 at its relaxed geometry (GGA-PBE).

Output
formation energy without anion corrections = -0.62 eV per atom

a b c (Å): 4.577 4.577 10.717
angles (deg): 90.00 90.00 90.00
Space group P-4m2 (No. 115)
Symmetry-distinct sites (fractional):
La: 0.000 0.500 0.249 [2 per cell]
Mn: 0.500 0.500 0.000 [1 per cell]
Sb: 0.000 0.000 0.500 [1 per cell]
Sb: 0.000 0.500 0.866 [2 per cell]
Sb: 0.500 0.500 0.500 [1 per cell]
Ir: 0.000 0.000 0.000 [1 per cell]
Ir: 0.000 0.500 0.622 [2 per cell]

17.
Entry from Alexandria: crystalline GaB2Sb at its relaxed geometry (GGA-PBE).

Output
energy above the lowest structure with this stoichiometry = 0.000 eV per atom
formation energy without anion corrections = 0.68 eV per atom

a b c (Å): 5.115 5.115 10.201
angles (deg): 90.00 90.00 90.00
Space group I-42d (No. 122)
Symmetry-distinct sites (fractional):
Ga: 0.000 0.000 0.000 [4 per cell]
B: 0.233 0.250 0.125 [8 per cell]
Sb: 0.000 0.000 0.500 [4 per cell]

18.
Entry from Alexandria: crystalline Li2WAu at its relaxed geometry (GGA-PBE).

Output
energy above the lowest structure with this stoichiometry = 0.000 eV per atom
energy of formation = 92 meV per atom

a b c (Å): 3.037 4.468 9.309
angles (deg): 90.00 90.00 90.00
Space group Cmmm (No. 65)
Symmetry-distinct sites (fractional):
Li: 0.000 0.000 0.244 [4 per cell]
W: 0.000 0.500 0.500 [2 per cell]
Au: 0.000 0.500 0.000 [2 per cell]

19.
Entry from Alexandria: crystalline HoErP2Rh5 at its relaxed geometry (GGA-PBE).

Output
energy of formation = -738 meV per atom

a b c (Å): 4.000 4.000 10.796
angles (deg): 90.00 90.00 90.00
Space group P4/mmm (No. 123)
Symmetry-distinct sites (fractional):
Ho: 0.000 0.000 0.000 [1 per cell]
Er: 0.000 0.000 0.500 [1 per cell]
P: 0.500 0.500 0.209 [2 per cell]
Rh: 0.000 0.500 0.306 [4 per cell]
Rh: 0.500 0.500 0.000 [1 per cell]

20.
Entry from Alexandria: crystalline CaSiBi3 at its relaxed geometry (GGA-PBE).

Output
energy above the lowest structure with this stoichiometry = 0.743 eV per atom
formation energy without anion corrections = 0.96 eV per atom

a b c (Å): 5.781 5.781 5.781
angles (deg): 90.00 90.00 90.00
Space group Pm-3m (No. 221)
Symmetry-distinct sites (fractional):
Ca: 0.000 0.000 0.000 [1 per cell]
Si: 0.500 0.500 0.500 [1 per cell]
Bi: 0.000 0.000 0.500 [3 per cell]

Here are the calculated final energy numbers, same order: -7.54 -5.91 -2.73 -5.29 -4.74 -4.90 -3.57 -3.50 -6.32 -9.49 -6.45 -3.87 -5.50 -3.78 -7.17 -6.83 -4.44 -4.92 -7.04 -2.86 (eV/atom).